Record 1
VASP calculation (GGA-PBE) on La3Bi2Te after structural relaxation.

Calculated values
total magnetization: 0.00 μB/cell
V: 35.914 A^3/atom
raw formation energy: -121.58 kJ/mol of atoms

a b c (Å): 4.6727 6.6015 13.9711
angles (deg): 90.00 90.00 90.00
Closest atoms and distances in Å follow each position.
Space group Immm (No. 71)
Unique sites:
La  0.0000  0.0000  0.0000 x2  4 Bi 3.30, 2 Te 3.30
La  0.0000  0.0000  0.3326 x4  4 Bi 3.29-3.30, 2 Te 3.31
Bi  0.0000  0.5000  0.3335 x4  6 La 3.29-3.30
Te  0.0000  0.5000  0.0000 x2  6 La 3.30-3.31

Record 2
VASP calculation (GGA-PBE) on PrPu2Fe after structural relaxation.

Calculated values
energy relative to the lowest polymorph listed for this composition: 0.381 eV per atom
total magnetization: 0.05 μB/cell
V: 22.284 A^3/atom
ΔH_f (0 K): 534 meV/atom

a b c (Å): 4.2914 4.2914 16.7664
angles (deg): 90.00 90.00 120.00
Closest atoms and distances in Å follow each position.
Space group R-3m (No. 166, hexagonal axes)
Unique sites:
Pr  0.0000  0.0000  0.0000 x3  2 Pu 2.98
Pu  0.0000  0.0000  0.1776 x6  3 Fe 2.48, 3 Pu 2.50
Fe  0.0000  0.0000  0.5000 x3  6 Pu 2.48

Which of these has the lowest V? PrPu2Fe

Look up the total magnetization of the first one. 0.00 μB/cell

Which of these has the lowest V? PrPu2Fe